Entry 1:
NiPtRh2: relaxed, PBE.

Cell lengths 2.730, 3.765, 5.412 Å; angles 90.00, 90.00, 90.00 degrees
Fractional positions:
Ni (0.000, 0.000, 0.000)
Pt (0.000, 0.000, 0.500)
Rh (0.500, 0.500, 0.239)
Rh (0.500, 0.500, 0.761)

## Properties
formation enthalpy at 0 K: 0.0209 eV/atom
space-group type: No. 47

---

Entry 2:
Ca2Mg3H10: relaxed, PBE.

Cell lengths 8.937, 8.937, 7.036 Å; angles 109.19, 109.19, 36.23 degrees
Fractional positions:
Ca (0.118, 0.118, 0.219)
Ca (0.224, 0.224, 0.824)
Ca (0.776, 0.776, 0.176)
Ca (0.882, 0.882, 0.781)
Mg (0.240, 0.760, 0.500)
Mg (0.324, 0.324, 0.470)
Mg (0.423, 0.423, 0.050)
Mg (0.577, 0.577, 0.950)
Mg (0.676, 0.676, 0.530)
Mg (0.760, 0.240, 0.500)
H (0.000, 0.500, 0.500)
H (0.008, 0.008, 0.698)
H (0.091, 0.596, 0.019)
H (0.099, 0.666, 0.456)
H (0.257, 0.257, 0.195)
H (0.258, 0.742, 0.000)
H (0.334, 0.901, 0.544)
H (0.363, 0.363, 0.756)
H (0.404, 0.909, 0.981)
H (0.484, 0.484, 0.322)
H (0.500, 0.000, 0.500)
H (0.516, 0.516, 0.678)
H (0.596, 0.091, 0.019)
H (0.637, 0.637, 0.244)
H (0.666, 0.099, 0.456)
H (0.742, 0.258, 0.000)
H (0.743, 0.743, 0.805)
H (0.901, 0.334, 0.544)
H (0.909, 0.404, 0.981)
H (0.992, 0.992, 0.302)

## Properties
raw total energy: -3.14 eV per atom
space-group type: No. 12

---

Entry 3:
AcTb3In2: relaxed, PBE.

Cell lengths 3.691, 3.691, 13.318 Å; angles 90.00, 90.00, 90.00 degrees
Fractional positions:
Ac (0.000, 0.000, 0.000)
Tb (0.500, 0.500, 0.201)
Tb (0.500, 0.500, 0.500)
Tb (0.500, 0.500, 0.799)
In (0.000, 0.000, 0.348)
In (0.000, 0.000, 0.652)

## Properties
offset from the most stable computed form: 0 meV/atom
formation enthalpy at 0 K: -0.3009 eV/atom
space-group type: No. 123

---

Entry 4:
Al13Ag2: relaxed, PBE.

Cell lengths 4.956, 6.367, 8.609 Å; angles 101.58, 106.71, 95.82 degrees
Fractional positions:
Al (0.000, 0.000, 0.000)
Al (0.005, 0.001, 0.334)
Al (0.200, 0.398, 0.265)
Al (0.201, 0.399, 0.933)
Al (0.201, 0.400, 0.601)
Al (0.397, 0.800, 0.867)
Al (0.402, 0.798, 0.201)
Al (0.598, 0.202, 0.799)
Al (0.603, 0.200, 0.133)
Al (0.799, 0.600, 0.399)
Al (0.799, 0.601, 0.067)
Al (0.800, 0.602, 0.735)
Al (0.995, 0.999, 0.666)
Ag (0.392, 0.796, 0.534)
Ag (0.608, 0.204, 0.466)

## Properties
formation enthalpy at 0 K: 0.0071 eV/atom
space-group type: No. 2

---

Entry 5:
Rb3ZnF6: relaxed, PBE.

Cell lengths 7.515, 7.515, 7.515 Å; angles 91.49, 91.49, 91.49 degrees
Fractional positions:
Rb (0.060, 0.752, 0.560)
Rb (0.248, 0.440, 0.940)
Rb (0.440, 0.940, 0.248)
Rb (0.560, 0.060, 0.752)
Rb (0.752, 0.560, 0.060)
Rb (0.940, 0.248, 0.440)
Zn (0.000, 0.000, 0.000)
Zn (0.500, 0.500, 0.500)
F (0.047, 0.746, 0.933)
F (0.067, 0.953, 0.254)
F (0.249, 0.429, 0.557)
F (0.254, 0.067, 0.953)
F (0.429, 0.557, 0.249)
F (0.443, 0.751, 0.571)
F (0.557, 0.249, 0.429)
F (0.571, 0.443, 0.751)
F (0.746, 0.933, 0.047)
F (0.751, 0.571, 0.443)
F (0.933, 0.047, 0.746)
F (0.953, 0.254, 0.067)

## Properties
energy relative to the elements, uncorrected: -2.3745 eV per atom
space-group type: No. 148

---

Entry 6:
MnCd3N3: relaxed, PBE.

Cell lengths 7.189, 7.189, 4.797 Å; angles 90.00, 90.00, 120.00 degrees
Fractional positions:
Mn (0.333, 0.667, 0.250)
Mn (0.667, 0.333, 0.750)
Cd (0.186, 0.372, 0.750)
Cd (0.186, 0.814, 0.750)
Cd (0.372, 0.186, 0.250)
Cd (0.628, 0.814, 0.750)
Cd (0.814, 0.186, 0.250)
Cd (0.814, 0.628, 0.250)
N (0.190, 0.380, 0.250)
N (0.190, 0.810, 0.250)
N (0.380, 0.190, 0.750)
N (0.620, 0.810, 0.250)
N (0.810, 0.190, 0.750)
N (0.810, 0.620, 0.750)

## Properties
energy relative to the elements, uncorrected: 0.3166 eV per atom
space-group type: No. 194

---

Entry 7:
Cr2RhCl: relaxed, PBE.

Cell lengths 5.220, 5.220, 5.220 Å; angles 147.57, 129.31, 61.47 degrees
Fractional positions:
Cr (0.000, 0.000, 0.000)
Cr (0.734, 0.234, 0.500)
Rh (0.259, 0.759, 0.500)
Cl (0.509, 0.509, 0.000)

## Properties
offset from the most stable computed form: 263 meV/atom
energy relative to the elements, uncorrected: 0.3639 eV per atom
space-group type: No. 44

---

Entry 8:
CaPrAl: relaxed, PBE.

Cell lengths 7.368, 7.368, 7.368 Å; angles 151.22, 151.22, 41.15 degrees
Fractional positions:
Ca (0.000, 0.000, 0.000)
Pr (0.723, 0.723, 0.000)
Al (0.358, 0.358, 0.000)

## Properties
offset from the most stable computed form: 94 meV/atom
formation enthalpy at 0 K: -0.1770 eV/atom
space-group type: No. 107

---

Entry 9:
LiMg2P: relaxed, PBE.

Cell lengths 3.520, 3.573, 5.746 Å; angles 90.00, 90.00, 90.00 degrees
Fractional positions:
Li (0.000, 0.000, 0.000)
Mg (0.500, 0.500, 0.266)
Mg (0.500, 0.500, 0.734)
P (0.000, 0.000, 0.500)

## Properties
formation enthalpy at 0 K: -0.2390 eV/atom
space-group type: No. 47

---

Entry 10:
RbPuMgF6: relaxed, PBE.

Cell lengths 7.466, 7.466, 7.466 Å; angles 120.54, 116.41, 92.70 degrees
Fractional positions:
Rb (0.335, 0.085, 0.250)
Rb (0.665, 0.915, 0.750)
Pu (0.000, 0.500, 0.500)
Pu (0.500, 0.500, 0.000)
Mg (0.000, 0.000, 0.500)
Mg (0.000, 0.500, 0.000)
F (0.049, 0.347, 0.165)
F (0.049, 0.884, 0.703)
F (0.070, 0.320, 0.750)
F (0.318, 0.116, 0.665)
F (0.318, 0.653, 0.203)
F (0.368, 0.618, 0.750)
F (0.632, 0.382, 0.250)
F (0.682, 0.347, 0.797)
F (0.682, 0.884, 0.335)
F (0.930, 0.680, 0.250)
F (0.951, 0.116, 0.297)
F (0.951, 0.653, 0.835)

## Properties
energy relative to the elements, uncorrected: -3.3915 eV per atom
space-group type: No. 74

---

Entry 11:
Mg4IrAu: relaxed, PBE.

Cell lengths 5.331, 5.331, 7.031 Å; angles 109.28, 109.28, 35.17 degrees
Fractional positions:
Mg (0.150, 0.150, 0.338)
Mg (0.152, 0.152, 0.812)
Mg (0.848, 0.848, 0.188)
Mg (0.850, 0.850, 0.662)
Ir (0.500, 0.500, 0.500)
Au (0.500, 0.500, 0.000)

## Properties
offset from the most stable computed form: 0 meV/atom
formation enthalpy at 0 K: -0.3739 eV/atom
space-group type: No. 12

---

Entry 12:
Mn2CrPt: relaxed, PBE.

Cell lengths 4.508, 4.508, 4.546 Å; angles 99.94, 99.94, 34.04 degrees
Fractional positions:
Mn (0.247, 0.247, 0.233)
Mn (0.753, 0.753, 0.767)
Cr (0.500, 0.500, 0.000)
Pt (0.000, 0.000, 0.500)

## Properties
formation enthalpy at 0 K: 0.0200 eV/atom
space-group type: No. 12

---

Repeat the fifth record exactly.
Rb3ZnF6: relaxed, PBE.

Cell lengths 7.515, 7.515, 7.515 Å; angles 91.49, 91.49, 91.49 degrees
Fractional positions:
Rb (0.060, 0.752, 0.560)
Rb (0.248, 0.440, 0.940)
Rb (0.440, 0.940, 0.248)
Rb (0.560, 0.060, 0.752)
Rb (0.752, 0.560, 0.060)
Rb (0.940, 0.248, 0.440)
Zn (0.000, 0.000, 0.000)
Zn (0.500, 0.500, 0.500)
F (0.047, 0.746, 0.933)
F (0.067, 0.953, 0.254)
F (0.249, 0.429, 0.557)
F (0.254, 0.067, 0.953)
F (0.429, 0.557, 0.249)
F (0.443, 0.751, 0.571)
F (0.557, 0.249, 0.429)
F (0.571, 0.443, 0.751)
F (0.746, 0.933, 0.047)
F (0.751, 0.571, 0.443)
F (0.933, 0.047, 0.746)
F (0.953, 0.254, 0.067)

## Properties
energy relative to the elements, uncorrected: -2.3745 eV per atom
space-group type: No. 148